CrNiPb2 after structural relaxation. Source: the Alexandria database, functional PBE.

Results
Total magnetic moment ... 4.16 μB per formula unit
Space-group type ... C2/m (12)
Distance to the lowest polymorph of the same formula ... 171 meV/atom
Energy of formation ... 0.498 eV/atom
Density of states at the Fermi level ... 3.200 states/eV per cell
Final energy ... -5.21 eV/atom

```
CrNiPb2
1.0
-0.660 -2.448 3.809
-0.880 -4.382 0.982
5.424 -2.268 1.128
Cr Ni Pb
1 1 2
Direct
0.250 0.250 0.250
0.750 0.750 0.750
0.012 0.012 0.978
0.488 0.488 0.522
```